No. 1
The following is a DFT calculation (PBE) of a geometry-optimized Rb2PuAg2Se4 structure.

* space-group type: C222
* DFT total energy: -4.793 eV/atom

Geometry as POSCAR:
```
Rb2PuAg2Se4
1.0
3.252 -6.856 0.000
3.252 6.856 0.000
0.000 0.000 6.508
Rb Pu Ag Se
2 1 2 4
direct
0.000 0.500 0.234
0.500 0.000 0.766
0.000 0.000 0.500
0.000 0.000 0.000
0.500 0.500 0.500
0.136 0.353 0.744
0.353 0.136 0.256
0.647 0.864 0.256
0.864 0.647 0.744
```

---

No. 2
The following is a DFT calculation (PBE) of a geometry-optimized Pr2InPt4Pb structure.

* space-group type: P-3m1
* DFT total energy: -5.832 eV/atom

Geometry as POSCAR:
```
Pr2InPt4Pb
1.0
4.689 0.000 0.000
-2.344 4.060 0.000
0.000 0.000 9.366
Pr In Pt Pb
2 1 4 1
direct
0.333 0.667 0.252
0.667 0.333 0.748
0.000 0.000 0.500
0.333 0.667 0.586
0.333 0.667 0.901
0.667 0.333 0.099
0.667 0.333 0.414
0.000 0.000 0.000
```

---

No. 3
The following is a DFT calculation (PBE) of a geometry-optimized NbTc2Sn structure.

* space-group type: P6_3/mmc
* DFT total energy: -8.624 eV/atom

Geometry as POSCAR:
```
NbTc2Sn
1.0
4.540 0.000 0.000
-2.270 3.932 0.000
0.000 0.000 8.000
Nb Tc Sn
2 4 2
direct
0.000 0.000 0.000
0.000 0.000 0.500
0.333 0.667 0.097
0.333 0.667 0.403
0.667 0.333 0.597
0.667 0.333 0.903
0.333 0.667 0.750
0.667 0.333 0.250
```

---

Question: Which of these has the highest DFT total energy?
Answer: Rb2PuAg2Se4

---

Question: Which value of DFT total energy does entry 3 give?
Answer: -8.624 eV/atom

---

Question: Which formula does entry 1 have?
Answer: Rb2PuAg2Se4

---

Repeat the second record exactly.
The following is a DFT calculation (PBE) of a geometry-optimized Pr2InPt4Pb structure.

* space-group type: P-3m1
* DFT total energy: -5.832 eV/atom

Geometry as POSCAR:
```
Pr2InPt4Pb
1.0
4.689 0.000 0.000
-2.344 4.060 0.000
0.000 0.000 9.366
Pr In Pt Pb
2 1 4 1
direct
0.333 0.667 0.252
0.667 0.333 0.748
0.000 0.000 0.500
0.333 0.667 0.586
0.333 0.667 0.901
0.667 0.333 0.099
0.667 0.333 0.414
0.000 0.000 0.000
```